1.
First-principles (PBE-GGA) data for a relaxed Pr2FeAu crystal, as listed in the Alexandria database.

CIF file:
```
data_Pr2FeAu
_chemical_formula_sum 'Pr2 Fe1 Au1'
_cell_length_a 3.6334
_cell_length_b 3.6334
_cell_length_c 7.4007
_cell_angle_alpha 90.00
_cell_angle_beta 90.00
_cell_angle_gamma 90.00
_symmetry_space_group_name_H-M 'P 4/m m m'
_symmetry_Int_Tables_number 123
_symmetry_space_group_name_Hall '-P 4 2'
loop_
_atom_site_label
_atom_site_fract_x
_atom_site_fract_y
_atom_site_fract_z
Pr1 0.0000 0.0000 0.2354
Fe1 0.5000 0.5000 0.0000
Au1 0.5000 0.5000 0.5000
```

Computed properties:
Density ... 9.09 g/cm3
Magnetic moment ... 0.3756 μB per atom
Final energy ... -5.53 eV per atom

2.
First-principles (PBE-GGA) data for a relaxed Th4Te2AsP crystal, as listed in the Alexandria database.

CIF file:
```
data_Th4Te2AsP
_chemical_formula_sum 'Th4 Te2 As1 P1'
_cell_length_a 7.3596
_cell_length_b 4.2605
_cell_length_c 7.7774
_cell_angle_alpha 90.00
_cell_angle_beta 108.52
_cell_angle_gamma 90.00
_symmetry_space_group_name_H-M 'P 1 2/m 1'
_symmetry_Int_Tables_number 10
_symmetry_space_group_name_Hall '-P 2y'
loop_
_atom_site_label
_atom_site_fract_x
_atom_site_fract_y
_atom_site_fract_z
Th1 0.2271 0.0000 0.2098
Th2 0.2518 0.5000 0.7864
Te1 0.0000 0.0000 0.5000
Te2 0.5000 0.5000 0.5000
As1 0.5000 0.0000 0.0000
P1 0.0000 0.5000 0.0000
```

Computed properties:
Formation energy (no corrections) ... -1306 meV/atom
Density ... 9.26 g/cm3
Magnetic moment ... 0.0000 μB per atom

3.
First-principles (PBE-GGA) data for a relaxed PuAlZn2 crystal, as listed in the Alexandria database.

CIF file:
```
data_PuAlZn2
_chemical_formula_sum 'Pu4 Al4 Zn8'
_cell_length_a 8.3067
_cell_length_b 6.5382
_cell_length_c 5.7311
_cell_angle_alpha 90.00
_cell_angle_beta 90.00
_cell_angle_gamma 90.00
_symmetry_space_group_name_H-M 'P n m a'
_symmetry_Int_Tables_number 62
_symmetry_space_group_name_Hall '-P 2ac 2n'
loop_
_atom_site_label
_atom_site_fract_x
_atom_site_fract_y
_atom_site_fract_z
Pu1 0.0406 0.2500 0.1264
Al1 0.0959 0.7500 0.3662
Zn1 0.1888 0.0550 0.6172
```

Computed properties:
Density ... 8.57 g/cm3
Magnetic moment ... 1.4615 μB per atom
Final energy ... -5.27 eV per atom

4.
First-principles (PBE-GGA) data for a relaxed MnRe2Hg crystal, as listed in the Alexandria database.

CIF file:
```
data_MnRe2Hg
_chemical_formula_sum 'Mn4 Re8 Hg4'
_cell_length_a 6.3518
_cell_length_b 6.3518
_cell_length_c 6.3518
_cell_angle_alpha 90.00
_cell_angle_beta 90.00
_cell_angle_gamma 90.00
_symmetry_space_group_name_H-M 'F -4 3 m'
_symmetry_Int_Tables_number 216
_symmetry_space_group_name_Hall 'F -4 2 3'
loop_
_atom_site_label
_atom_site_fract_x
_atom_site_fract_y
_atom_site_fract_z
Mn1 0.0000 0.0000 0.0000
Re1 0.0000 0.0000 0.5000
Re2 0.2500 0.2500 0.7500
Hg1 0.2500 0.2500 0.2500
```

Computed properties:
Density ... 16.28 g/cm3
Magnetic moment ... 0.9147 μB per atom
Final energy ... -7.90 eV per atom

5.
First-principles (PBE-GGA) data for a relaxed NpUCoRh crystal, as listed in the Alexandria database.

CIF file:
```
data_NpUCoRh
_chemical_formula_sum 'Np4 U4 Co4 Rh4'
_cell_length_a 6.3646
_cell_length_b 6.3646
_cell_length_c 6.3646
_cell_angle_alpha 90.00
_cell_angle_beta 90.00
_cell_angle_gamma 90.00
_symmetry_space_group_name_H-M 'F -4 3 m'
_symmetry_Int_Tables_number 216
_symmetry_space_group_name_Hall 'F -4 2 3'
loop_
_atom_site_label
_atom_site_fract_x
_atom_site_fract_y
_atom_site_fract_z
Np1 0.0000 0.0000 0.0000
U1 0.2500 0.2500 0.7500
Co1 0.0000 0.0000 0.5000
Rh1 0.2500 0.2500 0.2500
```

Computed properties:
Density ... 16.41 g/cm3
Magnetic moment ... 0.7524 μB per atom
ΔE to the lowest computed polymorph ... 0.0000 eV/atom

6.
First-principles (PBE-GGA) data for a relaxed PrCd7Pd5 crystal, as listed in the Alexandria database.

CIF file:
```
data_PrCd7Pd5
_chemical_formula_sum 'Pr2 Cd14 Pd10'
_cell_length_a 5.7020
_cell_length_b 9.5723
_cell_length_c 9.5520
_cell_angle_alpha 90.00
_cell_angle_beta 90.00
_cell_angle_gamma 90.00
_symmetry_space_group_name_H-M 'I m m 2'
_symmetry_Int_Tables_number 44
_symmetry_space_group_name_Hall 'I 2 -2'
loop_
_atom_site_label
_atom_site_fract_x
_atom_site_fract_y
_atom_site_fract_z
Pr1 0.0000 0.0000 0.0000
Cd1 0.0000 0.0000 0.3623
Cd2 0.0000 0.0000 0.6776
Cd3 0.0000 0.2963 0.5562
Cd4 0.0000 0.3416 0.0705
Cd5 0.0000 0.5000 0.7876
Pd1 0.0000 0.5000 0.3361
Pd2 0.2447 0.2461 0.8114
```

Computed properties:
Density ... 9.30 g/cm3
Magnetic moment ... 0.0000 μB per atom
Final energy ... -3.26 eV per atom

Number 1: DOS at the Fermi energy 5.00 states/eV per cell. Number 2: DOS at the Fermi energy 6.48 states/eV per cell. Number 3: DOS at the Fermi energy 40.95 states/eV per cell. Number 4: DOS at the Fermi energy 15.67 states/eV per cell. Number 5: DOS at the Fermi energy 16.72 states/eV per cell. Number 6: DOS at the Fermi energy 10.20 states/eV per cell.